P) # KZnBr2, relaxed, DFT PBE
# Density of states at the Fermi level ... 10.13 states/eV per cell
data_KZnBr2
_symmetry_space_group_name_H-M 'R -3 m'
_symmetry_Int_Tables_number 166
_symmetry_space_group_name_Hall '-R 3 2"'
_cell_length_a 4.8522
_cell_length_b 4.8522
_cell_length_c 25.9777
_cell_angle_alpha 90.00
_cell_angle_beta 90.00
_cell_angle_gamma 120.00
loop_
_atom_site_label
_atom_site_type_symbol
_atom_site_fract_x
_atom_site_fract_y
_atom_site_fract_z
_atom_site_occupancy
K1 K 0.0000 0.0000 0.0000 1
Zn1 Zn 0.0000 0.0000 0.5000 1
Br1 Br 0.0000 0.0000 0.4022 1



Q) # KZnBr2, relaxed, DFT PBE
# Density of states at the Fermi level ... 0.43 states/eV per cell
data_KZnBr2
_symmetry_space_group_name_H-M 'P 1 m 1'
_symmetry_Int_Tables_number 6
_cell_length_a 4.293
_cell_length_b 5.128
_cell_length_c 6.405
_cell_angle_alpha 90.00
_cell_angle_beta 105.40
_cell_angle_gamma 90.00
loop_
_symmetry_equiv_pos_as_xyz
'x,y,z'
'x,-y,z'
loop_
_atom_site_label
_atom_site_type_symbol
_atom_site_fract_x
_atom_site_fract_y
_atom_site_fract_z
_atom_site_occupancy
K1 K 0.000 0.000 0.000 1
Zn1 Zn 0.668 0.500 0.510 1
Br1 Br 0.440 0.500 0.868 1
Br2 Br 0.685 0.000 0.439 1



Which one is most stable, and which one is least stable? Q) is the most stable of them, while P) is the least stable.



P) # KZnBr2, relaxed, DFT PBE
# Density of states at the Fermi level ... 2.28 states/eV per cell
data_KZnBr2
_symmetry_space_group_name_H-M 'I -4 m 2'
_symmetry_Int_Tables_number 119
_symmetry_space_group_name_Hall 'I -4 -2'
_cell_length_a 4.275
_cell_length_b 4.275
_cell_length_c 15.131
_cell_angle_alpha 90.00
_cell_angle_beta 90.00
_cell_angle_gamma 90.00
loop_
_atom_site_label
_atom_site_type_symbol
_atom_site_fract_x
_atom_site_fract_y
_atom_site_fract_z
_atom_site_occupancy
K1 K 0.000 0.000 0.000 1
Zn1 Zn 0.000 0.500 0.750 1
Br1 Br 0.000 0.000 0.500 1
Br2 Br 0.000 0.500 0.250 1



Q) # KZnBr2, relaxed, DFT PBE
# Density of states at the Fermi level ... 2.29 states/eV per cell
data_KZnBr2
_symmetry_space_group_name_H-M 'I m m m'
_symmetry_Int_Tables_number 71
_symmetry_space_group_name_Hall '-I 2 2'
_cell_length_a 4.646
_cell_length_b 6.763
_cell_length_c 8.191
_cell_angle_alpha 90.00
_cell_angle_beta 90.00
_cell_angle_gamma 90.00
loop_
_atom_site_label
_atom_site_type_symbol
_atom_site_fract_x
_atom_site_fract_y
_atom_site_fract_z
_atom_site_occupancy
K1 K 0.000 0.000 0.000 1
Zn1 Zn 0.000 0.000 0.500 1
Br1 Br 0.000 0.500 0.206 1



R) # KZnBr2, relaxed, DFT PBE
# Density of states at the Fermi level ... 1.59 states/eV per cell
data_KZnBr2
_symmetry_space_group_name_H-M 'P 4 m m'
_symmetry_Int_Tables_number 99
_cell_length_a 4.342
_cell_length_b 4.342
_cell_length_c 6.870
_cell_angle_alpha 90.00
_cell_angle_beta 90.00
_cell_angle_gamma 90.00
loop_
_symmetry_equiv_pos_as_xyz
'x,y,z'
'-y,x,z'
'-x,-y,z'
'y,-x,z'
'-x,y,z'
'y,x,z'
'x,-y,z'
'-y,-x,z'
loop_
_atom_site_label
_atom_site_type_symbol
_atom_site_fract_x
_atom_site_fract_y
_atom_site_fract_z
_atom_site_occupancy
K1 K 0.000 0.000 0.000 1
Zn1 Zn 0.500 0.500 0.496 1
Br1 Br 0.000 0.000 0.529 1
Br2 Br 0.500 0.500 0.110 1



S) # KZnBr2, relaxed, DFT PBE
# Density of states at the Fermi level ... 0.33 states/eV per cell
data_KZnBr2
_symmetry_space_group_name_H-M 'C 1 m 1'
_symmetry_Int_Tables_number 8
_cell_length_a 14.083
_cell_length_b 4.153
_cell_length_c 4.234
_cell_angle_alpha 90.00
_cell_angle_beta 90.05
_cell_angle_gamma 90.00
loop_
_symmetry_equiv_pos_as_xyz
'x,y,z'
'x,-y,z'
'x+1/2,y+1/2,z'
'x+1/2,-y+1/2,z'
loop_
_atom_site_label
_atom_site_type_symbol
_atom_site_fract_x
_atom_site_fract_y
_atom_site_fract_z
_atom_site_occupancy
K1 K 0.000 0.000 0.000 1
Zn1 Zn 0.224 0.000 0.500 1
Br1 Br 0.194 0.500 0.997 1
Br2 Br 0.408 0.000 0.500 1



Which one is most stable, and which one is least stable? S) is the most stable of them, while P) is the least stable.



P) # KZnBr2, relaxed, DFT PBE
# Density of states at the Fermi level ... 2.06 states/eV per cell
data_KZnBr2
_symmetry_space_group_name_H-M 'P 4/m m m'
_symmetry_Int_Tables_number 123
_symmetry_space_group_name_Hall '-P 4 2'
_cell_length_a 5.378
_cell_length_b 5.378
_cell_length_c 3.830
_cell_angle_alpha 90.00
_cell_angle_beta 90.00
_cell_angle_gamma 90.00
loop_
_atom_site_label
_atom_site_type_symbol
_atom_site_fract_x
_atom_site_fract_y
_atom_site_fract_z
_atom_site_occupancy
K1 K 0.000 0.000 0.000 1
Zn1 Zn 0.500 0.500 0.000 1
Br1 Br 0.000 0.500 0.500 1



Q) # KZnBr2, relaxed, DFT PBE
# Density of states at the Fermi level ... 0.35 states/eV per cell
data_KZnBr2
_symmetry_space_group_name_H-M 'I -4 2 d'
_symmetry_Int_Tables_number 122
_symmetry_space_group_name_Hall 'I -4 2bw'
_cell_length_a 6.572
_cell_length_b 6.572
_cell_length_c 15.048
_cell_angle_alpha 90.00
_cell_angle_beta 90.00
_cell_angle_gamma 90.00
loop_
_atom_site_label
_atom_site_type_symbol
_atom_site_fract_x
_atom_site_fract_y
_atom_site_fract_z
_atom_site_occupancy
K1 K 0.000 0.000 0.000 1
Zn1 Zn 0.000 0.000 0.500 1
Br1 Br 0.173 0.250 0.625 1



Which one is most stable, and which one is least stable? Q) is the most stable of them, while P) is the least stable.